## AgMo3I (PBEsol)

Data for a relaxed AgMo3I crystal.

Computed properties:
M_tot: 0.00 μB per formula unit
energy: -5.865 eV per atom

a = 4.798 Å, b = 4.798 Å, c = 4.798 Å
α = 90.00°, β = 90.00°, γ = 90.00°
Space group Pm-3m (No. 221)
Asymmetric unit:
Ag  0.000  0.000  0.000
Mo  0.000  0.500  0.500
I  0.500  0.500  0.500